This record from the Alexandria database describes an optimized crystal structure of CsBPt3. The functional is PBE-GGA.

Structure (extended XYZ):
```
5
Lattice="-0.423 4.210 1.511 -4.374 -0.071 -1.025 -0.937 -1.567 4.105" Properties=species:S:1:pos:R:3 pbc="T T T"
Cs -2.867 1.286 2.295
B 0.000 0.000 0.000
Pt -2.187 -0.036 -0.513
Pt -0.468 -0.784 2.053
Pt -0.211 2.105 0.755
```

Properties
formation energy from the elements: 0.3273 eV/atom
Fermi-level density of states: 1.196 states/eV/cell
raw total energy: -4.80 eV per atom
V: 18.142 Å³/atom

This record from the Alexandria database describes an optimized crystal structure of CsBPt2. The functional is PBE-GGA.

Structure (extended XYZ):
```
8
Lattice="-3.512 3.133 -3.002 -1.885 -4.581 -2.576 -7.084 -1.404 1.631" Properties=species:S:1:pos:R:3 pbc="T T T"
Cs 0.000 0.000 0.000
Cs -6.647 0.503 -2.080
B -2.698 -0.724 -2.789
B -5.834 -3.354 -1.867
Pt -3.323 0.251 -1.040
Pt -4.267 -2.038 -2.329
Pt -7.809 -2.742 -1.513
Pt -9.564 -1.173 -3.013
```

Properties
formation energy from the elements: -0.0466 eV/atom
Fermi-level density of states: 0.000 states/eV/cell
raw total energy: -4.95 eV per atom
V: 24.404 Å³/atom

This record from the Alexandria database describes an optimized crystal structure of CsScBPt2. The functional is PBE-GGA.

Structure (extended XYZ):
```
5
Lattice="5.159 0.000 0.000 0.000 4.913 0.000 0.000 0.000 5.159" Properties=species:S:1:pos:R:3 pbc="T T T"
Cs 2.579 2.456 2.579
Sc 0.000 0.000 0.000
B 0.000 2.456 0.000
Pt 0.000 0.000 2.579
Pt 2.579 0.000 0.000
```

Properties
formation energy from the elements: 0.7786 eV/atom
Fermi-level density of states: 3.988 states/eV/cell
raw total energy: -4.41 eV per atom
V: 26.147 Å³/atom

This record from the Alexandria database describes an optimized crystal structure of CsTlB2Pt. The functional is PBE-GGA.

Structure (extended XYZ):
```
5
Lattice="4.983 0.000 0.000 0.000 6.308 0.000 0.000 0.000 4.983" Properties=species:S:1:pos:R:3 pbc="T T T"
Cs 0.000 0.000 0.000
Tl 0.000 3.154 0.000
B 0.000 0.000 2.492
B 2.492 0.000 0.000
Pt 2.492 3.154 2.492
```

Properties
formation energy from the elements: 2.8176 eV/atom
Fermi-level density of states: 3.751 states/eV/cell
raw total energy: -1.71 eV per atom
V: 31.330 Å³/atom

This record from the Alexandria database describes an optimized crystal structure of Cs2PuB2S6. The functional is PBE-GGA.

Structure (extended XYZ):
```
11
Lattice="-1.655 1.724 6.475 3.502 -2.709 5.294 5.472 5.396 3.640" Properties=species:S:1:pos:R:3 pbc="T T T"
Cs 5.021 2.756 11.584
Cs 2.298 1.655 3.825
Pu 0.000 0.000 0.000
B 5.111 3.916 7.620
B 2.208 0.495 7.789
S 2.553 0.420 9.575
S 3.308 -0.366 6.622
S 0.956 1.656 7.160
S 6.363 2.754 8.249
S 4.011 4.777 8.788
S 4.766 3.990 5.834
```

Properties
Fermi-level density of states: 6.711 states/eV/cell
ΔE_f (raw): -933.0 meV per atom
raw total energy: -5.86 eV per atom
V: 28.171 Å³/atom

This record from the Alexandria database describes an optimized crystal structure of CsRbB2. The functional is PBE-GGA.

Structure (extended XYZ):
```
4
Lattice="-2.595 -4.132 -2.693 -2.329 -4.169 2.874 -5.549 -0.444 0.262" Properties=species:S:1:pos:R:3 pbc="T T T"
Cs -5.237 -4.373 0.221
B -2.618 -2.186 0.111
B -7.855 -6.559 0.332
Rb 0.000 0.000 0.000
```

Properties
formation energy from the elements: 2.0153 eV/atom
Fermi-level density of states: 5.178 states/eV/cell
raw total energy: -1.78 eV per atom
V: 30.605 Å³/atom

This record from the Alexandria database describes an optimized crystal structure of CsRbB3. The functional is PBE-GGA.

Structure (extended XYZ):
```
5
Lattice="-1.420 3.979 -3.369 3.303 -2.014 -3.772 -4.033 -3.051 -1.903" Properties=species:S:1:pos:R:3 pbc="T T T"
Cs 0.000 0.000 0.000
B 1.652 -1.007 -1.886
B -2.017 -1.525 -0.952
B -0.710 1.990 -1.684
Rb -1.075 -0.543 -4.522
```

Properties
formation energy from the elements: 2.8249 eV/atom
Fermi-level density of states: 6.279 states/eV/cell
raw total energy: -1.55 eV per atom
V: 31.553 Å³/atom

This record from the Alexandria database describes an optimized crystal structure of CsRbBS2. The functional is PBE-GGA.

Structure (extended XYZ):
```
10
Lattice="5.227 0.000 0.000 0.000 10.403 -0.907 0.000 -3.879 9.630" Properties=species:S:1:pos:R:3 pbc="T T T"
Cs 0.960 2.292 6.769
Cs 4.267 4.232 1.954
Rb 2.091 -0.970 2.407
Rb 3.136 -2.909 7.222
B 0.000 0.000 0.000
B 0.000 -1.939 4.815
S 4.492 5.011 8.697
S 4.492 -0.427 4.840
S 0.735 6.951 3.882
S 0.735 1.512 0.026
```

Properties
Fermi-level density of states: 4.167 states/eV/cell
ΔE_f (raw): -605.2 meV per atom
raw total energy: -3.96 eV per atom
V: 50.526 Å³/atom

| no. | spin magnetization (μB/atom) |
| --- | --- |
| 1 | 0.0000 |
| 2 | 0.0000 |
| 3 | 0.0000 |
| 4 | 0.0000 |
| 5 | 0.3634 |
| 6 | 0.2778 |
| 7 | 0.0405 |
| 8 | 0.0000 |